Entry 1:
# Ni2MoC | Alexandria | GGA-PBE | optimized geometry
# Formation energy = 83 meV per atom
# Raw total energy = -7.82 eV per atom
data_Ni2MoC
_symmetry_space_group_name_H-M 'C 1 2/m 1'
_symmetry_Int_Tables_number 12
_symmetry_space_group_name_Hall '-C 2y'
_cell_length_a 9.084
_cell_length_b 3.252
_cell_length_c 6.861
_cell_angle_alpha 90.00
_cell_angle_beta 121.83
_cell_angle_gamma 90.00
loop_
_atom_site_label
_atom_site_type_symbol
_atom_site_fract_x
_atom_site_fract_y
_atom_site_fract_z
_atom_site_occupancy
Ni1 Ni 0.014 0.000 0.202 1
Ni2 Ni 0.144 0.500 0.514 1
Mo1 Mo 0.206 0.500 0.134 1
C1 C 0.104 0.500 0.770 1

***

Entry 2:
# CaGe2Te2 | Alexandria | GGA-PBE | optimized geometry
# Raw total energy = -3.87 eV per atom
data_CaGe2Te2
_symmetry_space_group_name_H-M 'I 4/m m m'
_symmetry_Int_Tables_number 139
_symmetry_space_group_name_Hall '-I 4 2'
_cell_length_a 3.927
_cell_length_b 3.927
_cell_length_c 17.611
_cell_angle_alpha 90.00
_cell_angle_beta 90.00
_cell_angle_gamma 90.00
loop_
_atom_site_label
_atom_site_type_symbol
_atom_site_fract_x
_atom_site_fract_y
_atom_site_fract_z
_atom_site_occupancy
Ca1 Ca 0.000 0.000 0.000 1
Ge1 Ge 0.000 0.500 0.250 1
Te1 Te 0.000 0.000 0.398 1

***

Entry 3:
# CeLuPu2 | Alexandria | GGA-PBE | optimized geometry
# Formation energy = 155 meV per atom
# Raw total energy = -9.62 eV per atom
data_CeLuPu2
_symmetry_space_group_name_H-M 'P 4/m m m'
_symmetry_Int_Tables_number 123
_symmetry_space_group_name_Hall '-P 4 2'
_cell_length_a 4.821
_cell_length_b 4.821
_cell_length_c 4.706
_cell_angle_alpha 90.00
_cell_angle_beta 90.00
_cell_angle_gamma 90.00
loop_
_atom_site_label
_atom_site_type_symbol
_atom_site_fract_x
_atom_site_fract_y
_atom_site_fract_z
_atom_site_occupancy
Ce1 Ce 0.000 0.000 0.000 1
Lu1 Lu 0.500 0.500 0.000 1
Pu1 Pu 0.000 0.500 0.500 1

***

Entry 4:
# CaY2BiC | Alexandria | GGA-PBE | optimized geometry
# Formation energy = -528 meV per atom
# Raw total energy = -6.14 eV per atom
data_CaY2BiC
_symmetry_space_group_name_H-M 'P 4/m m m'
_symmetry_Int_Tables_number 123
_symmetry_space_group_name_Hall '-P 4 2'
_cell_length_a 4.924
_cell_length_b 4.924
_cell_length_c 5.044
_cell_angle_alpha 90.00
_cell_angle_beta 90.00
_cell_angle_gamma 90.00
loop_
_atom_site_label
_atom_site_type_symbol
_atom_site_fract_x
_atom_site_fract_y
_atom_site_fract_z
_atom_site_occupancy
Ca1 Ca 0.000 0.000 0.000 1
Y1 Y 0.000 0.500 0.500 1
Bi1 Bi 0.500 0.500 0.000 1
C1 C 0.000 0.000 0.500 1

***

Entry 5:
# Tl2HgSe4 | Alexandria | GGA-PBE | optimized geometry
# Raw total energy = -2.90 eV per atom
data_Tl2HgSe4
_symmetry_space_group_name_H-M 'P -4 2 m'
_symmetry_Int_Tables_number 111
_symmetry_space_group_name_Hall 'P -4 2'
_cell_length_a 6.037
_cell_length_b 6.037
_cell_length_c 6.051
_cell_angle_alpha 90.00
_cell_angle_beta 90.00
_cell_angle_gamma 90.00
loop_
_atom_site_label
_atom_site_type_symbol
_atom_site_fract_x
_atom_site_fract_y
_atom_site_fract_z
_atom_site_occupancy
Tl1 Tl 0.000 0.500 0.000 1
Hg1 Hg 0.000 0.000 0.500 1
Se1 Se 0.275 0.275 0.723 1

***

Entry 6:
# P2BrCl | Alexandria | GGA-PBE | optimized geometry
# Raw total energy = -2.55 eV per atom
data_P2BrCl
_symmetry_space_group_name_H-M 'I 4/m m m'
_symmetry_Int_Tables_number 139
_symmetry_space_group_name_Hall '-I 4 2'
_cell_length_a 4.363
_cell_length_b 4.363
_cell_length_c 8.034
_cell_angle_alpha 90.00
_cell_angle_beta 90.00
_cell_angle_gamma 90.00
loop_
_atom_site_label
_atom_site_type_symbol
_atom_site_fract_x
_atom_site_fract_y
_atom_site_fract_z
_atom_site_occupancy
P1 P 0.000 0.500 0.250 1
Br1 Br 0.000 0.000 0.000 1
Cl1 Cl 0.000 0.000 0.500 1

***

> Among the records above, which one has the highest raw total energy?

P2BrCl

***

> Among the records above, which one has the lowest raw total energy?

CeLuPu2